[1]
! PBE Cr2Se, optimized geometry; values from VASP
! energy above the most stable polymorph in this dataset: 717.2 meV/atom
! crystal system: cubic
&SYSTEM
  ibrav = 0, nat = 6, ntyp = 2
/
ATOMIC_SPECIES
Cr 52.00 Cr.upf
Se 78.96 Se.upf
ATOMIC_POSITIONS angstrom
Cr 0.8654 2.5961 2.5961
Cr 2.5961 0.8654 2.5961
Cr 2.5961 2.5961 0.8654
Cr 0.8654 0.8654 0.8654
Se 3.4615 3.4615 3.4615
Se 5.1922 5.1922 5.1922
CELL_PARAMETERS angstrom
0.0000 3.4615 3.4615
3.4615 0.0000 3.4615
3.4615 3.4615 0.0000

[2]
! PBE CrSe, optimized geometry; values from VASP
! crystal system: hexagonal
&SYSTEM
  ibrav = 0, nat = 12, ntyp = 2
/
ATOMIC_SPECIES
Cr 52.00 Cr.upf
Se 78.96 Se.upf
ATOMIC_POSITIONS angstrom
Cr -3.4289 -2.1726 3.3818
Cr -0.0200 1.5028 5.6133
Cr -1.9859 -2.1889 6.6624
Cr 3.0164 3.2993 6.2444
Cr -0.3926 -0.3760 4.0129
Cr 1.5734 3.3157 2.9638
Se -3.8444 -3.0950 5.6131
Se 1.5342 1.9818 7.4458
Se -0.0162 -0.7875 6.2634
Se 3.4319 4.2218 4.0130
Se -1.9467 -0.8550 2.1804
Se -0.3963 1.9143 3.3627
CELL_PARAMETERS angstrom
-5.8489 -5.1683 4.6340
7.2524 3.5111 4.1795
-1.8161 2.7840 0.8127

[3]
! PBE Cr2Se, optimized geometry; values from VASP
! energy above the most stable polymorph in this dataset: 516.5 meV/atom
! crystal system: trigonal
&SYSTEM
  ibrav = 0, nat = 3, ntyp = 2
/
ATOMIC_SPECIES
Cr 52.00 Cr.upf
Se 78.96 Se.upf
ATOMIC_POSITIONS angstrom
Cr 0.0000 2.3658 0.5301
Cr 2.0488 1.1829 2.2383
Se 0.0000 0.0000 0.0000
CELL_PARAMETERS angstrom
4.0976 0.0000 0.0000
-2.0488 3.5487 0.0000
0.0000 0.0000 2.7684

[4]
! PBE CrSe2, optimized geometry; values from VASP
! crystal system: monoclinic
&SYSTEM
  ibrav = 0, nat = 6, ntyp = 2
/
ATOMIC_SPECIES
Cr 52.00 Cr.upf
Se 78.96 Se.upf
ATOMIC_POSITIONS angstrom
Cr 5.9524 -2.0937 4.4600
Cr 1.1085 -2.5741 2.9566
Se 2.7373 -5.3493 6.3206
Se -0.3794 -4.5134 4.2388
Se 0.7003 -6.6853 6.7921
Se 5.1809 -3.9791 5.9812
CELL_PARAMETERS angstrom
-2.1064 -2.2902 3.9228
-1.1241 -4.6402 1.5085
6.3791 -1.4501 4.0071

[5]
! PBE CrSe, optimized geometry; values from VASP
! crystal system: cubic
&SYSTEM
  ibrav = 0, nat = 4, ntyp = 2
/
ATOMIC_SPECIES
Cr 52.00 Cr.upf
Se 78.96 Se.upf
ATOMIC_POSITIONS angstrom
Cr 0.0000 0.0000 0.0000
Cr -2.3554 0.2137 -1.3452
Se -4.7107 0.4274 -2.6903
Se -7.0661 0.6410 -4.0355
CELL_PARAMETERS angstrom
-1.9682 -0.4312 -3.9599
-4.1806 -1.4831 -0.2532
-3.2727 2.7690 -1.1675

[6]
! PBE CrSe, optimized geometry; values from VASP
! crystal system: orthorhombic
&SYSTEM
  ibrav = 0, nat = 16, ntyp = 2
/
ATOMIC_SPECIES
Cr 52.00 Cr.upf
Se 78.96 Se.upf
ATOMIC_POSITIONS angstrom
Cr -5.2675 -0.3748 1.8032
Cr -6.0658 -3.8116 1.2288
Cr -7.6814 -0.7288 5.3004
Cr -0.2799 -1.7008 4.7763
Cr -3.3381 -2.5943 4.1657
Cr -7.5456 -3.9227 4.7487
Cr -3.1144 -2.5411 0.7825
Cr -5.2965 2.4422 3.4118
Se -5.0419 -3.8954 5.7121
Se -3.9635 0.0057 3.9493
Se -1.0839 -2.3928 2.4685
Se -9.2054 -0.3333 0.9788
Se -2.8120 0.0052 0.4994
Se -6.9361 -1.9744 3.1631
Se -3.8469 -4.4127 2.4078
Se -5.6997 -0.2340 7.0384
CELL_PARAMETERS angstrom
-3.7462 -5.2395 -1.4900
0.6007 -2.1193 5.9424
-6.5018 4.0509 2.1019

[7]
! PBE CrSe2, optimized geometry; values from VASP
! crystal system: orthorhombic
&SYSTEM
  ibrav = 0, nat = 6, ntyp = 2
/
ATOMIC_SPECIES
Cr 52.00 Cr.upf
Se 78.96 Se.upf
ATOMIC_POSITIONS angstrom
Cr 7.7863 0.1722 3.6899
Cr -8.5893 2.6270 0.4168
Se 1.5231 0.4340 2.2868
Se -2.3262 2.3652 1.8200
Se -5.4718 0.7265 0.7196
Se 4.6687 2.0727 3.3871
CELL_PARAMETERS angstrom
-11.2285 0.0821 -0.7679
10.4532 -0.8244 4.0896
-0.0278 3.5416 0.7850

[8]
! PBE Cr3Se, optimized geometry; values from VASP
! energy above the most stable polymorph in this dataset: 136.7 meV/atom
! crystal system: hexagonal
&SYSTEM
  ibrav = 0, nat = 4, ntyp = 2
/
ATOMIC_SPECIES
Cr 52.00 Cr.upf
Se 78.96 Se.upf
ATOMIC_POSITIONS angstrom
Cr 0.0021 0.0043 0.0009
Cr 1.5262 3.1166 0.6912
Cr -0.0583 1.6263 1.8652
Se 1.4700 4.7471 2.5574
CELL_PARAMETERS angstrom
-2.3814 0.8054 1.6268
2.2954 -1.4132 1.3039
3.0566 6.2417 1.3842

Quick rundown of total moment, same order as above: 0.000 0.083 0.000 1.002 0.901 2.002 1.227 0.318 μB/atom
Quick rundown of energy relative to the elements, uncorrected, same order as above: 603.9 -74.3 403.2 -251.1 749.0 -155.5 22.3 357.5 meV per atom